Run i
First-principles (GGA-PBEsol) data for a geometry-optimized CuNiIr2 structure, as listed in Alexandria via LeMat-Bulk.

DOS(E_F), states/eV per atom: 1.038

Cell: 2.6920 2.6920 6.9296 Å, 90.00 90.00 90.00°
Last column: nearest neighbours and their distance in Å.
Space group P4mm (No. 99)
Inequivalent atoms, fractional coordinates:
Cu: 0.0000 0.0000 0.0000 (multiplicity 1)  4 Ni 2.47, 4 Ir 2.62, 4 Cu 2.69
Ni: 0.5000 0.5000 0.7730 (multiplicity 1)  4 Cu 2.47, 4 Ir 2.56, 4 Ni 2.69
Ir: 0.0000 0.0000 0.5267 (multiplicity 1)  4 Ni 2.56, 8 Ir 2.65-2.69
Ir: 0.5000 0.5000 0.2607 (multiplicity 1)  4 Cu 2.62, 8 Ir 2.65-2.69

Run ii
First-principles (GGA-PBEsol) data for a geometry-optimized CuNiIr2 structure, as listed in Alexandria via LeMat-Bulk.

DOS(E_F), states/eV per atom: 1.148

Cell: 8.6853 2.6817 4.4163 Å, 90.00 100.66 90.00°
Last column: nearest neighbours and their distance in Å.
Space group Cm (No. 8)
Inequivalent atoms, fractional coordinates:
Cu: 0.0000 0.0000 0.0000 (multiplicity 2)  3 Ni 2.54-2.58, 7 Ir 2.57-2.68, 2 Cu 2.68
Ni: 0.2498 0.0000 0.7804 (multiplicity 2)  3 Cu 2.54-2.58, 7 Ir 2.58-2.70, 2 Ni 2.68
Ir: 0.0024 0.5000 0.5044 (multiplicity 2)  5 Ir 2.56-2.68, 4 Cu 2.57-2.60, 3 Ni 2.63-2.70
Ir: 0.2540 0.5000 0.2818 (multiplicity 2)  5 Ir 2.56-2.68, 4 Ni 2.58, 3 Cu 2.66-2.68

Which one is most stable, and which one is least stable? run i is the most stable of them, while run ii is the least stable.

Run i
First-principles (GGA-PBEsol) data for a geometry-optimized CuNiIr2 structure, as listed in Alexandria via LeMat-Bulk.

DOS(E_F), states/eV per atom: 1.029

Cell: 2.6655 3.7055 5.1255 Å, 90.00 90.00 90.00°
Last column: nearest neighbours and their distance in Å.
Space group Pmm2 (No. 25)
Inequivalent atoms, fractional coordinates:
Cu: 0.0000 0.0000 0.0000 (multiplicity 1)  6 Ir 2.51-2.66, 4 Ni 2.57, 2 Cu 2.67
Ni: 0.5000 0.5000 0.7680 (multiplicity 1)  6 Ir 2.55-2.64, 4 Cu 2.57, 2 Ni 2.67
Ir: 0.0000 0.0000 0.5097 (multiplicity 1)  2 Cu 2.51-2.61, 6 Ir 2.60-2.67, 4 Ni 2.64
Ir: 0.5000 0.5000 0.2652 (multiplicity 1)  2 Ni 2.55-2.58, 6 Ir 2.60-2.67, 4 Cu 2.66

Run ii
First-principles (GGA-PBEsol) data for a geometry-optimized CuNiIr2 structure, as listed in Alexandria via LeMat-Bulk.

DOS(E_F), states/eV per atom: 1.483

Cell: 2.6565 2.6565 24.9561 Å, 90.00 90.00 120.00°
Last column: nearest neighbours and their distance in Å.
Space group R-3m (No. 166, hexagonal axes)
Inequivalent atoms, fractional coordinates:
Cu: 0.0000 0.0000 0.0000 (multiplicity 3)  6 Ir 2.62, 6 Cu 2.66
Ni: 0.0000 0.0000 0.5000 (multiplicity 3)  6 Ir 2.55, 6 Ni 2.66
Ir: 0.0000 0.0000 0.2481 (multiplicity 6)  3 Ni 2.55, 3 Cu 2.62, 6 Ir 2.66

Which one is most stable, and which one is least stable? run i is the most stable of them, while run ii is the least stable.

Run i
First-principles (GGA-PBEsol) data for a geometry-optimized CuIrOs2 structure, as listed in Alexandria via LeMat-Bulk.

DOS(E_F), states/eV per atom: 1.340

Cell: 6.0306 6.0306 6.0306 Å, 90.00 90.00 90.00°
Last column: nearest neighbours and their distance in Å.
Space group F-43m (No. 216)
Inequivalent atoms, fractional coordinates:
Cu: 0.0000 0.0000 0.0000 (multiplicity 4)  4 Os 2.61, 4 Ir 2.61
Ir: 0.2500 0.2500 0.2500 (multiplicity 4)  4 Os 2.61, 4 Cu 2.61
Os: 0.0000 0.0000 0.5000 (multiplicity 4)  4 Os 2.61, 4 Ir 2.61
Os: 0.2500 0.2500 0.7500 (multiplicity 4)  4 Os 2.61, 4 Cu 2.61

Run ii
First-principles (GGA-PBEsol) data for a geometry-optimized CuIrOs2 structure, as listed in Alexandria via LeMat-Bulk.

DOS(E_F), states/eV per atom: 1.008

Cell: 2.8008 4.3532 8.8490 Å, 90.00 90.00 90.00°
Last column: nearest neighbours and their distance in Å.
Space group Immm (No. 71)
Inequivalent atoms, fractional coordinates:
Cu: 0.0000 0.0000 0.0000 (multiplicity 2)  4 Os 2.47, 4 Ir 2.59
Ir: 0.0000 0.0000 0.5000 (multiplicity 2)  4 Cu 2.59, 4 Os 2.77, 2 Ir 2.80
Os: 0.0000 0.5000 0.2701 (multiplicity 4)  2 Cu 2.47, 4 Os 2.61

Run iii
First-principles (GGA-PBEsol) data for a geometry-optimized CuIrOs2 structure, as listed in Alexandria via LeMat-Bulk.

DOS(E_F), states/eV per atom: 1.304

Cell: 4.5283 4.5283 2.6868 Å, 90.00 90.00 90.00°
Last column: nearest neighbours and their distance in Å.
Space group P4/mmm (No. 123)
Inequivalent atoms, fractional coordinates:
Cu: 0.0000 0.0000 0.0000 (multiplicity 1)  8 Os 2.63, 2 Cu 2.69
Ir: 0.5000 0.5000 0.0000 (multiplicity 1)  8 Os 2.63, 2 Ir 2.69
Os: 0.0000 0.5000 0.5000 (multiplicity 2)  4 Ir 2.63, 4 Cu 2.63, 2 Os 2.69

Which one is most stable, and which one is least stable? run ii is the most stable of them, while run iii is the least stable.

Run i
First-principles (GGA-PBEsol) data for a geometry-optimized Cu2IrOs structure, as listed in Alexandria via LeMat-Bulk.

DOS(E_F), states/eV per atom: 1.275

Cell: 2.6165 3.7454 5.2554 Å, 90.00 90.00 90.00°
Last column: nearest neighbours and their distance in Å.
Space group Pmmm (No. 47)
Inequivalent atoms, fractional coordinates:
Cu: 0.0000 0.0000 0.2490 (multiplicity 2)  4 Cu 2.62-2.64, 4 Os 2.63, 4 Ir 2.64
Ir: 0.5000 0.5000 0.5000 (multiplicity 1)  2 Ir 2.62, 2 Os 2.63, 8 Cu 2.64
Os: 0.5000 0.5000 0.0000 (multiplicity 1)  2 Os 2.62, 2 Ir 2.63, 8 Cu 2.63

Run ii
First-principles (GGA-PBEsol) data for a geometry-optimized Cu2IrOs structure, as listed in Alexandria via LeMat-Bulk.

DOS(E_F), states/eV per atom: 1.044

Cell: 5.2213 8.7640 2.6183 Å, 90.00 118.35 90.00°
Last column: nearest neighbours and their distance in Å.
Space group C2/m (No. 12)
Inequivalent atoms, fractional coordinates:
Cu: 0.2500 0.2500 0.0000 (multiplicity 4)  2 Ir 2.57, 2 Os 2.57, 6 Cu 2.61-2.68
Ir: 0.0000 0.0000 0.5000 (multiplicity 2)  4 Cu 2.57, 4 Os 2.61-2.68, 2 Ir 2.62
Os: 0.0000 0.5000 0.5000 (multiplicity 2)  4 Cu 2.57, 4 Ir 2.61-2.68, 2 Os 2.62

Which one is most stable, and which one is least stable? run ii is the most stable of them, while run i is the least stable.

Run i
First-principles (GGA-PBEsol) data for a geometry-optimized CuIrPb2 structure, as listed in Alexandria via LeMat-Bulk.

DOS(E_F), states/eV per atom: 0.617

Cell: 4.7545 4.7628 6.7383 Å, 90.00 90.00 90.00°
Last column: nearest neighbours and their distance in Å.
Space group Immm (No. 71)
Inequivalent atoms, fractional coordinates:
Cu: 0.0000 0.0000 0.0000 (multiplicity 2)  8 Pb 2.91-2.92
Ir: 0.0000 0.0000 0.5000 (multiplicity 2)  8 Pb 2.91-2.92
Pb: 0.0000 0.5000 0.2500 (multiplicity 4)  4 Cu 2.91-2.92, 4 Ir 2.91-2.92

Run ii
First-principles (GGA-PBEsol) data for a geometry-optimized CuIrPb2 structure, as listed in Alexandria via LeMat-Bulk.

DOS(E_F), states/eV per atom: 0.601

Cell: 3.2105 3.2105 8.0207 Å, 90.00 90.00 90.00°
Last column: nearest neighbours and their distance in Å.
Space group P4mm (No. 99)
Inequivalent atoms, fractional coordinates:
Cu: 0.0000 0.0000 0.0000 (multiplicity 1)  4 Ir 2.61, 4 Pb 2.85
Ir: 0.5000 0.5000 0.1609 (multiplicity 1)  4 Cu 2.61, 4 Pb 2.90
Pb: 0.0000 0.0000 0.3853 (multiplicity 1)  4 Ir 2.90, 1 Cu 3.09, 4 Pb 3.21
Pb: 0.5000 0.5000 0.7859 (multiplicity 1)  4 Cu 2.85, 1 Ir 3.01

Which one is most stable, and which one is least stable? run ii is the most stable of them, while run i is the least stable.

Run i
First-principles (GGA-PBEsol) data for a geometry-optimized CuReIr2 structure, as listed in Alexandria via LeMat-Bulk.

DOS(E_F), states/eV per atom: 0.560

Cell: 2.7492 2.7492 7.1965 Å, 90.00 90.00 90.00°
Last column: nearest neighbours and their distance in Å.
Space group P4/mmm (No. 123)
Inequivalent atoms, fractional coordinates:
Cu: 0.0000 0.0000 0.0000 (multiplicity 1)  8 Ir 2.64, 4 Cu 2.75
Re: 0.0000 0.0000 0.5000 (multiplicity 1)  8 Ir 2.66, 4 Re 2.75
Ir: 0.5000 0.5000 0.2476 (multiplicity 2)  4 Cu 2.64, 4 Re 2.66, 4 Ir 2.75

Run ii
First-principles (GGA-PBEsol) data for a geometry-optimized CuReIr2 structure, as listed in Alexandria via LeMat-Bulk.

DOS(E_F), states/eV per atom: 1.452

Cell: 6.0461 6.0461 6.0461 Å, 90.00 90.00 90.00°
Last column: nearest neighbours and their distance in Å.
Space group F-43m (No. 216)
Inequivalent atoms, fractional coordinates:
Cu: 0.0000 0.0000 0.0000 (multiplicity 4)  4 Re 2.62, 4 Ir 2.62
Re: 0.2500 0.2500 0.7500 (multiplicity 4)  4 Cu 2.62, 4 Ir 2.62
Ir: 0.0000 0.0000 0.5000 (multiplicity 4)  4 Ir 2.62, 4 Re 2.62
Ir: 0.2500 0.2500 0.2500 (multiplicity 4)  4 Cu 2.62, 4 Ir 2.62

Which one is most stable, and which one is least stable? run i is the most stable of them, while run ii is the least stable.

Run i
First-principles (GGA-PBEsol) data for a geometry-optimized CuIr2Rh structure, as listed in Alexandria via LeMat-Bulk.

DOS(E_F), states/eV per atom: 0.953

Cell: 8.7862 2.6900 4.5935 Å, 90.00 99.97 90.00°
Last column: nearest neighbours and their distance in Å.
Space group Cm (No. 8)
Inequivalent atoms, fractional coordinates:
Cu: 0.0000 0.0000 0.0000 (multiplicity 2)  3 Rh 2.60-2.66, 7 Ir 2.65-2.69, 2 Cu 2.69
Ir: 0.0015 0.5000 0.5031 (multiplicity 2)  5 Ir 2.62-2.69, 4 Cu 2.65-2.67, 3 Rh 2.68-2.70
Ir: 0.2482 0.0000 0.7404 (multiplicity 2)  5 Ir 2.62-2.69, 4 Rh 2.65-2.68, 3 Cu 2.66-2.69
Rh: 0.2525 0.5000 0.2377 (multiplicity 2)  3 Cu 2.60-2.66, 7 Ir 2.65-2.70, 2 Rh 2.69

Run ii
First-principles (GGA-PBEsol) data for a geometry-optimized CuIr2Rh structure, as listed in Alexandria via LeMat-Bulk.

DOS(E_F), states/eV per atom: 0.772

Cell: 2.7033 2.7033 7.2888 Å, 90.00 90.00 90.00°
Last column: nearest neighbours and their distance in Å.
Space group P4mm (No. 99)
Inequivalent atoms, fractional coordinates:
Cu: 0.0000 0.0000 0.0000 (multiplicity 1)  4 Rh 2.61, 4 Ir 2.62, 4 Cu 2.70
Ir: 0.0000 0.0000 0.5009 (multiplicity 1)  8 Ir 2.66-2.70, 4 Rh 2.66
Ir: 0.5000 0.5000 0.2467 (multiplicity 1)  4 Cu 2.62, 8 Ir 2.66-2.70
Rh: 0.5000 0.5000 0.7553 (multiplicity 1)  4 Cu 2.61, 4 Ir 2.66, 4 Rh 2.70

Which one is most stable, and which one is least stable? run ii is the most stable of them, while run i is the least stable.

Run i
First-principles (GGA-PBEsol) data for a geometry-optimized CuIr2Rh structure, as listed in Alexandria via LeMat-Bulk.

DOS(E_F), states/eV per atom: 0.951

Cell: 5.9992 5.9992 5.9992 Å, 90.00 90.00 90.00°
Last column: nearest neighbours and their distance in Å.
Space group Fm-3m (No. 225)
Inequivalent atoms, fractional coordinates:
Cu: 0.0000 0.0000 0.0000 (multiplicity 4)  8 Ir 2.60
Ir: 0.2500 0.2500 0.2500 (multiplicity 8)  4 Cu 2.60, 4 Rh 2.60
Rh: 0.0000 0.0000 0.5000 (multiplicity 4)  8 Ir 2.60

Run ii
First-principles (GGA-PBEsol) data for a geometry-optimized CuIr2Rh structure, as listed in Alexandria via LeMat-Bulk.

DOS(E_F), states/eV per atom: 1.012

Cell: 3.7538 3.7538 7.5700 Å, 90.00 90.00 90.00°
Last column: nearest neighbours and their distance in Å.
Space group I4/mmm (No. 139)
Inequivalent atoms, fractional coordinates:
Cu: 0.0000 0.0000 0.0000 (multiplicity 2)  4 Rh 2.65, 8 Ir 2.67
Ir: 0.0000 0.5000 0.2500 (multiplicity 4)  4 Ir 2.65, 4 Cu 2.67, 4 Rh 2.67
Rh: 0.0000 0.0000 0.5000 (multiplicity 2)  4 Cu 2.65, 8 Ir 2.67

Which one is most stable, and which one is least stable? run ii is the most stable of them, while run i is the least stable.